# NaHN5, optimized geometry, DFT PBE
# magnetic moment: 0.00 μB/atom
# DOS(E_F): 2.4 states/eV/f.u.
# symmetry: No. 15
# energy: -4.06 eV per atom
data_NaHN5
_chemical_formula_sum 'Na2 H2 N10'
_cell_length_a 4.232
_cell_length_b 4.232
_cell_length_c 7.193
_cell_angle_alpha 106.40
_cell_angle_beta 106.40
_cell_angle_gamma 68.49
_symmetry_space_group_name_H-M 'P 1'
_symmetry_Int_Tables_number 1
loop_
_symmetry_equiv_pos_as_xyz
'x,y,z'
loop_
_atom_site_label
_atom_site_fract_x
_atom_site_fract_y
_atom_site_fract_z
Na1 0.000 0.000 0.000
Na2 0.000 0.000 0.500
H1 0.838 0.162 0.250
H2 0.162 0.838 0.750
N1 0.800 0.751 0.202
N2 0.199 0.446 0.575
N3 0.751 0.800 0.702
N4 0.353 0.647 0.250
N5 0.554 0.801 0.925
N6 0.446 0.199 0.075
N7 0.647 0.353 0.750
N8 0.249 0.200 0.298
N9 0.801 0.554 0.425
N10 0.200 0.249 0.798



# CaDy2S4, optimized geometry, DFT PBE
# magnetic moment: 0.00 μB/atom
# DOS(E_F): 0.0 states/eV/f.u.
# symmetry: No. 62
# energy relative to the elements, uncorrected: -2.082 eV per atom
# energy: -6.04 eV per atom
# offset from the most stable computed form: 0.0064 eV per atom
data_CaDy2S4
_chemical_formula_sum 'Ca4 Dy8 S16'
_cell_length_a 3.936
_cell_length_b 12.003
_cell_length_c 14.129
_cell_angle_alpha 90.00
_cell_angle_beta 90.00
_cell_angle_gamma 90.00
_symmetry_space_group_name_H-M 'P 1'
_symmetry_Int_Tables_number 1
loop_
_symmetry_equiv_pos_as_xyz
'x,y,z'
loop_
_atom_site_label
_atom_site_fract_x
_atom_site_fract_y
_atom_site_fract_z
Ca1 0.250 0.753 0.337
Ca2 0.750 0.247 0.663
Ca3 0.250 0.253 0.163
Ca4 0.750 0.747 0.837
Dy1 0.750 0.063 0.886
Dy2 0.250 0.937 0.114
Dy3 0.750 0.563 0.614
Dy4 0.250 0.437 0.386
Dy5 0.250 0.412 0.902
Dy6 0.750 0.588 0.098
Dy7 0.250 0.912 0.598
Dy8 0.750 0.088 0.402
S1 0.750 0.091 0.077
S2 0.250 0.909 0.923
S3 0.750 0.591 0.423
S4 0.250 0.409 0.577
S5 0.750 0.963 0.717
S6 0.250 0.037 0.283
S7 0.750 0.463 0.783
S8 0.250 0.537 0.217
S9 0.750 0.369 0.036
S10 0.250 0.631 0.964
S11 0.750 0.869 0.464
S12 0.250 0.131 0.536
S13 0.250 0.203 0.817
S14 0.750 0.797 0.183
S15 0.250 0.703 0.683
S16 0.750 0.297 0.317



# SmTh2Mn, optimized geometry, DFT PBE
# magnetic moment: 0.74 μB/atom
# DOS(E_F): 6.0 states/eV/f.u.
# symmetry: No. 123
# energy: -7.02 eV per atom
# offset from the most stable computed form: 0.0000 eV per atom
data_SmTh2Mn
_chemical_formula_sum 'Sm1 Th2 Mn1'
_cell_length_a 3.579
_cell_length_b 3.579
_cell_length_c 8.677
_cell_angle_alpha 90.00
_cell_angle_beta 90.00
_cell_angle_gamma 90.00
_symmetry_space_group_name_H-M 'P 1'
_symmetry_Int_Tables_number 1
loop_
_symmetry_equiv_pos_as_xyz
'x,y,z'
loop_
_atom_site_label
_atom_site_fract_x
_atom_site_fract_y
_atom_site_fract_z
Mn1 0.500 0.500 0.000
Sm1 0.500 0.500 0.500
Th1 0.000 0.000 0.796
Th2 0.000 0.000 0.204



# Pr6SnBi2Se3, optimized geometry, DFT PBE
# magnetic moment: 0.00 μB/atom
# DOS(E_F): 4.7 states/eV/f.u.
# symmetry: No. 12
# energy relative to the elements, uncorrected: -1.356 eV per atom
# energy: -5.60 eV per atom
data_Pr6SnBi2Se3
_chemical_formula_sum 'Pr6 Sn1 Bi2 Se3'
_cell_length_a 4.461
_cell_length_b 8.888
_cell_length_c 9.941
_cell_angle_alpha 102.40
_cell_angle_beta 102.97
_cell_angle_gamma 90.00
_symmetry_space_group_name_H-M 'P 1'
_symmetry_Int_Tables_number 1
loop_
_symmetry_equiv_pos_as_xyz
'x,y,z'
loop_
_atom_site_label
_atom_site_fract_x
_atom_site_fract_y
_atom_site_fract_z
Pr1 0.333 0.928 0.666
Pr2 0.662 0.593 0.325
Pr3 0.667 0.072 0.334
Pr4 0.996 0.251 0.993
Pr5 0.004 0.749 0.007
Pr6 0.338 0.407 0.675
Sn1 0.500 0.000 0.000
Bi1 0.833 0.666 0.666
Bi2 0.167 0.334 0.334
Se1 0.500 0.500 0.000
Se2 0.832 0.167 0.665
Se3 0.168 0.833 0.335



Question: Which of these has the highest energy?
Answer: NaHN5